Density functional theory data (PBE-GGA) for a relaxed ZrIrOs2 crystal.

Cell: 2.8152 2.8152 8.0944 Å, 90.00 90.00 90.00°
With the nearest neighbours (Å) after each atom.
Atoms (fractional coordinates):
Ir 0.5000 0.5000 0.7500  8 Os 2.71, 4 Ir 2.82
Os 0.0000 0.0000 0.9774  4 Ir 2.71, 4 Os 2.82, 4 Zr 2.97
Os 0.0000 0.0000 0.5226  4 Ir 2.71, 4 Os 2.82, 4 Zr 2.97
Zr 0.5000 0.5000 0.2500  4 Zr 2.82, 8 Os 2.97

Calculated values
Total moment in μB per cell: 0.0
D(E_F) in states/eV/cell: 5.79
Space group: P4/mmm, No. 123
Uncorrected energy in eV/cell: -39.63
Formation energy in kJ/mol of formula units: 23
E above lowest polymorph in meV per atom: 296

---

Density functional theory data (PBE-GGA) for a relaxed Zr2IrOs crystal.

Cell: 2.8475 2.8475 8.9893 Å, 90.00 90.00 90.00°
With the nearest neighbours (Å) after each atom.
Atoms (fractional coordinates):
Ir 0.0000 0.0000 0.5307  4 Os 2.63, 4 Ir 2.85
Os 0.5000 0.5000 0.7191  4 Ir 2.63, 4 Os 2.85
Zr 0.0000 0.0000 0.9751  4 Zr 2.85, 4 Os 3.06
Zr 0.5000 0.5000 0.2751  4 Zr 2.85, 4 Ir 3.06

Calculated values
Total moment in μB per cell: 0.0
D(E_F) in states/eV/cell: 4.56
Space group: P4mm, No. 99
Uncorrected energy in eV/cell: -37.36
Formation energy in kJ/mol of formula units: -16
E above lowest polymorph in meV per atom: 599

---

Density functional theory data (PBE-GGA) for a relaxed Zr3Ir2Os crystal.

Cell: 3.3011 4.6698 14.0075 Å, 90.00 90.00 90.00°
With the nearest neighbours (Å) after each atom.
Atoms (fractional coordinates):
Zr 0.5001 0.5000 0.6661  2 Os 2.85, 6 Ir 2.86-2.88
Zr 0.4998 0.0000 0.5000  4 Ir 2.85, 4 Os 2.86
Zr 0.5001 0.5000 0.3339  2 Os 2.85, 6 Ir 2.86-2.88
Zr 0.4999 0.0000 0.1661  2 Os 2.85, 6 Ir 2.86-2.88
Zr 0.5002 0.5000 0.0000  4 Ir 2.85, 4 Os 2.86
Zr 0.4999 0.0000 0.8339  2 Os 2.85, 6 Ir 2.86-2.88
Ir 0.9993 0.0000 0.6656  8 Zr 2.85-2.88
Ir 0.9993 0.0000 0.3344  8 Zr 2.85-2.88
Ir 0.0007 0.5000 0.1656  8 Zr 2.85-2.88
Ir 0.0007 0.5000 0.8344  8 Zr 2.85-2.88
Os 0.0005 0.5000 0.5000  8 Zr 2.85-2.86
Os 0.9995 0.0000 0.0000  8 Zr 2.85-2.86

Calculated values
Total moment in μB per cell: 0.0
D(E_F) in states/eV/cell: 7.97
Space group: Cmmm, No. 65
Uncorrected energy in eV/cell: -117.30
Formation energy in kJ/mol of formula units: -391

---

Density functional theory data (PBE-GGA) for a relaxed ZrIrOs2 crystal.

Cell: 4.8753 4.8753 4.9201 Å, 80.43 80.43 33.82°
With the nearest neighbours (Å) after each atom.
Atoms (fractional coordinates):
Ir 0.7500 0.7500 0.7500  6 Os 2.73-2.81, 2 Ir 2.84, 4 Zr 2.84
Os 0.0078 0.0078 0.9733  4 Os 2.64-2.84, 3 Ir 2.73-2.81, 3 Zr 2.83-2.92
Os 0.4922 0.4922 0.5267  4 Os 2.64-2.84, 3 Ir 2.73-2.81, 3 Zr 2.83-2.92
Zr 0.2500 0.2500 0.2500  6 Os 2.83-2.92, 2 Zr 2.84, 4 Ir 2.84

Calculated values
Total moment in μB per cell: 0.0
D(E_F) in states/eV/cell: 3.43
Space group: C2/m, No. 12
Uncorrected energy in eV/cell: -40.35
Formation energy in kJ/mol of formula units: -46
E above lowest polymorph in meV per atom: 116

---

Density functional theory data (PBE-GGA) for a relaxed ZrIrOs2 crystal.

Cell: 3.3368 3.3368 5.8835 Å, 90.00 90.00 90.00°
With the nearest neighbours (Å) after each atom.
Atoms (fractional coordinates):
Ir 0.5000 0.5000 0.7500  8 Os 2.71, 2 Zr 2.94
Os 0.0000 0.0000 0.9765  1 Os 2.67, 4 Ir 2.71, 4 Zr 2.86
Os 0.0000 0.0000 0.5235  1 Os 2.67, 4 Ir 2.71, 4 Zr 2.86
Zr 0.5000 0.5000 0.2500  8 Os 2.86, 2 Ir 2.94

Calculated values
Total moment in μB per cell: 0.0
D(E_F) in states/eV/cell: 6.49
Space group: P4/mmm, No. 123
Uncorrected energy in eV/cell: -39.23
Formation energy in kJ/mol of formula units: 62
E above lowest polymorph in meV per atom: 396

---

Density functional theory data (PBE-GGA) for a relaxed ZrIrOs3 crystal.

Cell: 4.7097 4.7097 4.7097 Å, 90.00 90.00 90.00°
With the nearest neighbours (Å) after each atom.
Atoms (fractional coordinates):
Ir 0.5000 0.5000 0.5000  12 Os 3.33
Os 0.0000 0.5000 0.0000  2 Zr 2.35
Os 0.0000 0.0000 0.5000  2 Zr 2.35
Os 0.5000 0.0000 0.0000  2 Zr 2.35
Zr 0.0000 0.0000 0.0000  6 Os 2.35

Calculated values
Total moment in μB per cell: 0.0
D(E_F) in states/eV/cell: 9.20
Space group: Pm-3m, No. 221
Uncorrected energy in eV/cell: -36.96
Formation energy in kJ/mol of formula units: 1364
E above lowest polymorph in meV per atom: 1079

---

Density functional theory data (PBE-GGA) for a relaxed Zr2IrOs crystal.

Cell: 4.6643 4.6643 4.6643 Å, 60.00 60.00 60.00°
With the nearest neighbours (Å) after each atom.
Atoms (fractional coordinates):
Ir 0.5000 0.5000 0.5000  8 Zr 2.86
Os 0.0000 0.0000 0.0000  8 Zr 2.86
Zr 0.2500 0.2500 0.2500  4 Ir 2.86, 4 Os 2.86
Zr 0.7500 0.7500 0.7500  4 Ir 2.86, 4 Os 2.86

Calculated values
Total moment in μB per cell: 0.0
D(E_F) in states/eV/cell: 3.46
Space group: Fm-3m, No. 225
Uncorrected energy in eV/cell: -39.67
Formation energy in kJ/mol of formula units: -240
E above lowest polymorph in meV per atom: 20

---

Density functional theory data (PBE-GGA) for a relaxed ZrIrOs2 crystal.

Cell: 2.8442 4.8478 5.6508 Å, 54.19 90.00 90.00°
With the nearest neighbours (Å) after each atom.
Atoms (fractional coordinates):
Ir 0.0000 0.0000 0.5000  6 Os 2.80-2.83, 4 Zr 2.81, 2 Ir 2.84
Os 0.0000 0.0000 0.0000  4 Zr 2.80, 6 Os 2.81-2.84, 2 Ir 2.83
Os 0.5000 0.5000 0.0000  4 Ir 2.80, 6 Os 2.81-2.84, 2 Zr 2.83
Zr 0.5000 0.5000 0.5000  6 Os 2.80-2.83, 4 Ir 2.81, 2 Zr 2.84

Calculated values
Total moment in μB per cell: 0.0
D(E_F) in states/eV/cell: 3.96
Space group: P2/m, No. 10
Uncorrected energy in eV/cell: -40.46
Formation energy in kJ/mol of formula units: -57
E above lowest polymorph in meV per atom: 88

---

Density functional theory data (PBE-GGA) for a relaxed Zr2IrOs crystal.

Cell: 5.5242 5.5242 5.5242 Å, 143.67 133.14 60.70°
With the nearest neighbours (Å) after each atom.
Atoms (fractional coordinates):
Ir 0.4950 0.4950 0.0000  6 Zr 2.79-2.88, 2 Os 3.04
Os 0.7578 0.2578 0.5000  6 Zr 2.79-2.84, 2 Ir 3.04
Zr 0.9940 0.9940 0.0000  4 Ir 2.79, 2 Os 2.84, 2 Zr 3.01
Zr 0.2532 0.7532 0.5000  4 Os 2.79, 2 Ir 2.88, 2 Zr 3.01

Calculated values
Total moment in μB per cell: 0.0
D(E_F) in states/eV/cell: 2.79
Space group: Imm2, No. 44
Uncorrected energy in eV/cell: -38.85
Formation energy in kJ/mol of formula units: -161
E above lowest polymorph in meV per atom: 225

---

Density functional theory data (PBE-GGA) for a relaxed ZrIrOs2 crystal.

Cell: 3.9034 3.9034 9.8426 Å, 78.56 78.56 90.00°
With the nearest neighbours (Å) after each atom.
Atoms (fractional coordinates):
Ir 0.0000 0.0000 0.0000  4 Os 2.66, 4 Zr 2.76
Ir 0.7500 0.2500 0.5000  4 Os 2.66, 4 Zr 2.76
Os 0.6845 0.1250 0.2500  2 Os 2.45, 2 Ir 2.66
Os 0.0655 0.6250 0.2500  2 Os 2.45, 2 Ir 2.66
Os 0.3750 0.3155 0.7500  2 Os 2.45, 2 Ir 2.66
Os 0.8750 0.9345 0.7500  2 Os 2.45, 2 Ir 2.66
Zr 0.5000 0.5000 0.0000  4 Ir 2.76, 4 Os 2.83
Zr 0.2500 0.7500 0.5000  4 Ir 2.76, 4 Os 2.83

Calculated values
Total moment in μB per cell: 0.0
D(E_F) in states/eV/cell: 10.67
Space group: I-42d, No. 122
Uncorrected energy in eV/cell: -76.93
Formation energy in kJ/mol of formula units: 136
E above lowest polymorph in meV per atom: 587

---

Density functional theory data (PBE-GGA) for a relaxed Zr2Ir2Os crystal.

Cell: 6.7517 6.7517 3.9952 Å, 90.00 90.00 90.00°
With the nearest neighbours (Å) after each atom.
Atoms (fractional coordinates):
Ir 0.3681 0.8681 0.0000  1 Ir 2.52, 2 Os 2.64, 2 Zr 2.70
Ir 0.8681 0.6319 0.0000  1 Ir 2.52, 2 Os 2.64, 2 Zr 2.70
Ir 0.6319 0.1319 0.0000  1 Ir 2.52, 2 Os 2.64, 2 Zr 2.70
Ir 0.1319 0.3681 0.0000  1 Ir 2.52, 2 Os 2.64, 2 Zr 2.70
Os 0.0000 0.0000 0.0000  4 Ir 2.64
Os 0.5000 0.5000 0.0000  4 Ir 2.64
Zr 0.1771 0.6771 0.5000  6 Ir 2.70-2.90
Zr 0.6771 0.8229 0.5000  6 Ir 2.70-2.90
Zr 0.8229 0.3229 0.5000  6 Ir 2.70-2.90
Zr 0.3229 0.1771 0.5000  6 Ir 2.70-2.90

Calculated values
Total moment in μB per cell: 0.0
D(E_F) in states/eV/cell: 10.75
Space group: P4/mbm, No. 127
Uncorrected energy in eV/cell: -96.19
Formation energy in kJ/mol of formula units: -197

---

Density functional theory data (PBE-GGA) for a relaxed Zr2IrOs crystal.

Cell: 5.3278 5.3278 4.8753 Å, 79.96 79.96 32.16°
With the nearest neighbours (Å) after each atom.
Atoms (fractional coordinates):
Ir 0.5239 0.5239 0.5308  7 Zr 2.77-2.99, 2 Os 2.78, 2 Ir 2.95
Os 0.2275 0.2275 0.2176  2 Ir 2.78, 7 Zr 2.79-2.97, 2 Os 2.95
Zr 0.9811 0.9811 0.0517  3 Os 2.79-2.97, 4 Ir 2.86-2.90, 3 Zr 2.95-3.01
Zr 0.7675 0.7675 0.6999  3 Ir 2.77-2.99, 4 Os 2.87-2.89, 3 Zr 2.95-3.01

Calculated values
Total moment in μB per cell: 0.0
D(E_F) in states/eV/cell: 3.21
Space group: Cm, No. 8
Uncorrected energy in eV/cell: -38.71
Formation energy in kJ/mol of formula units: -147
E above lowest polymorph in meV per atom: 260

---

Density functional theory data (PBE-GGA) for a relaxed ZrIrOs2 crystal.

Cell: 4.8987 4.8987 4.8987 Å, 132.01 131.99 70.23°
With the nearest neighbours (Å) after each atom.
Atoms (fractional coordinates):
Ir 0.2500 0.7500 0.5000  8 Os 2.82-2.83, 4 Zr 2.83
Os 0.9999 0.9999 0.0000  4 Zr 2.82, 4 Os 2.82-2.83, 4 Ir 2.83
Os 0.7501 0.2501 0.5000  4 Ir 2.82, 4 Os 2.82-2.83, 4 Zr 2.83
Zr 0.5001 0.5001 0.0000  8 Os 2.82-2.83, 4 Ir 2.83

Calculated values
Total moment in μB per cell: 0.0
D(E_F) in states/eV/cell: 4.53
Space group: I-4m2, No. 119
Uncorrected energy in eV/cell: -40.53
Formation energy in kJ/mol of formula units: -64
E above lowest polymorph in meV per atom: 71

---

Density functional theory data (PBE-GGA) for a relaxed ZrIrOs2 crystal.

Cell: 9.6904 9.6904 9.6904 Å, 16.45 16.45 16.45°
With the nearest neighbours (Å) after each atom.
Atoms (fractional coordinates):
Ir 0.7500 0.7500 0.7500  6 Os 2.73, 6 Ir 2.77
Os 0.0063 0.0063 0.0063  3 Ir 2.73, 6 Os 2.77, 3 Zr 3.03
Os 0.4937 0.4937 0.4937  3 Ir 2.73, 6 Os 2.77, 3 Zr 3.03
Zr 0.2500 0.2500 0.2500  6 Zr 2.77, 6 Os 3.03

Calculated values
Total moment in μB per cell: 0.0
D(E_F) in states/eV/cell: 3.78
Space group: R-3m, No. 166
Uncorrected energy in eV/cell: -39.08
Formation energy in kJ/mol of formula units: 76
E above lowest polymorph in meV per atom: 433

---

Density functional theory data (PBE-GGA) for a relaxed Zr2IrOs crystal.

Cell: 10.2202 10.2202 10.2202 Å, 16.15 16.15 16.15°
With the nearest neighbours (Å) after each atom.
Atoms (fractional coordinates):
Ir 0.4935 0.4935 0.4935  3 Os 2.68, 6 Ir 2.87, 3 Zr 2.98
Os 0.7573 0.7573 0.7573  3 Ir 2.68, 6 Os 2.87
Zr 0.0071 0.0071 0.0071  6 Zr 2.87, 3 Os 3.02
Zr 0.2421 0.2421 0.2421  6 Zr 2.87, 3 Ir 2.98

Calculated values
Total moment in μB per cell: 0.0
D(E_F) in states/eV/cell: 4.28
Space group: R3m, No. 160
Uncorrected energy in eV/cell: -36.56
Formation energy in kJ/mol of formula units: 60
E above lowest polymorph in meV per atom: 798

---

Density functional theory data (PBE-GGA) for a relaxed ZrIrOs crystal.

Cell: 4.3669 4.3669 4.3669 Å, 60.00 60.00 60.00°
With the nearest neighbours (Å) after each atom.
Atoms (fractional coordinates):
Ir 0.5000 0.5000 0.5000  4 Os 2.67
Os 0.2500 0.2500 0.2500  4 Ir 2.67, 4 Zr 2.67
Zr 0.0000 0.0000 0.0000  4 Os 2.67

Calculated values
Total moment in μB per cell: 0.0
D(E_F) in states/eV/cell: 3.12
Space group: F-43m, No. 216
Uncorrected energy in eV/cell: -28.11
Formation energy in kJ/mol of formula units: 51
E above lowest polymorph in meV per atom: 464

---

Density functional theory data (PBE-GGA) for a relaxed Zr2IrOs crystal.

Cell: 3.7043 3.7043 5.6216 Å, 90.00 90.00 90.00°
With the nearest neighbours (Å) after each atom.
Atoms (fractional coordinates):
Ir 0.0000 0.0000 0.4429  6 Zr 2.74-2.84
Os 0.5000 0.5000 0.8099  6 Zr 2.73-2.87
Zr 0.0000 0.0000 0.9476  4 Os 2.73, 2 Ir 2.78-2.84
Zr 0.5000 0.5000 0.2995  4 Ir 2.74, 2 Os 2.75-2.87

Calculated values
Total moment in μB per cell: 0.0
D(E_F) in states/eV/cell: 1.67
Space group: P4mm, No. 99
Uncorrected energy in eV/cell: -38.35
Formation energy in kJ/mol of formula units: -112
E above lowest polymorph in meV per atom: 350

---

Density functional theory data (PBE-GGA) for a relaxed ZrIrOs2 crystal.

Cell: 4.8421 4.8421 2.8589 Å, 90.00 90.00 109.05°
With the nearest neighbours (Å) after each atom.
Atoms (fractional coordinates):
Ir 0.0000 0.5000 0.5000  2 Zr 2.81, 8 Os 2.81, 2 Ir 2.86
Os 0.0000 0.0000 0.0000  4 Os 2.81-2.86, 4 Ir 2.81, 4 Zr 2.81
Os 0.5000 0.5000 0.0000  4 Os 2.81-2.86, 4 Zr 2.81, 4 Ir 2.81
Zr 0.5000 0.0000 0.5000  2 Ir 2.81, 8 Os 2.81, 2 Zr 2.86

Calculated values
Total moment in μB per cell: 0.0
D(E_F) in states/eV/cell: 3.86
Space group: Cmmm, No. 65
Uncorrected energy in eV/cell: -40.13
Formation energy in kJ/mol of formula units: -25
E above lowest polymorph in meV per atom: 171

---

Density functional theory data (PBE-GGA) for a relaxed ZrIrOs2 crystal.

Cell: 4.8923 4.8923 4.8887 Å, 80.30 80.30 33.86°
With the nearest neighbours (Å) after each atom.
Atoms (fractional coordinates):
Ir 0.7429 0.7429 0.7591  5 Os 2.65-2.91, 3 Zr 2.77-2.87, 2 Ir 2.85
Os 0.9984 0.9984 0.0223  5 Os 2.68-2.85, 4 Zr 2.78-2.88, 3 Ir 2.81-2.91
Os 0.2593 0.2593 0.2092  2 Ir 2.65, 5 Os 2.68-2.85, 1 Zr 2.89
Zr 0.4994 0.4994 0.5094  3 Ir 2.77-2.87, 7 Os 2.78-2.97, 2 Zr 2.85

Calculated values
Total moment in μB per cell: 0.0
D(E_F) in states/eV/cell: 3.43
Space group: Cm, No. 8
Uncorrected energy in eV/cell: -40.38
Formation energy in kJ/mol of formula units: -49
E above lowest polymorph in meV per atom: 109

---

Density functional theory data (PBE-GGA) for a relaxed ZrIrOs3 crystal.

Cell: 4.6954 4.6954 4.6954 Å, 90.00 90.00 90.00°
With the nearest neighbours (Å) after each atom.
Atoms (fractional coordinates):
Ir 0.0000 0.0000 0.0000  6 Os 2.35
Os 0.0000 0.5000 0.0000  2 Ir 2.35
Os 0.0000 0.0000 0.5000  2 Ir 2.35
Os 0.5000 0.0000 0.0000  2 Ir 2.35
Zr 0.5000 0.5000 0.5000  12 Os 3.32

Calculated values
Total moment in μB per cell: 0.0
D(E_F) in states/eV/cell: 7.71
Space group: Pm-3m, No. 221
Uncorrected energy in eV/cell: -42.36
Formation energy in kJ/mol of formula units: 844
E above lowest polymorph in meV per atom: 0